Entry 1:
{"formula": "TmTh2ScSb5", "functional": "GGA-PBE", "state": "relaxed", "raw_formation_energy_ev_per_atom": -0.18, "sg": "P4/mmm, No. 123", "lattice": [[5.2549, 0.0000, 0.0000], [0.0000, 5.2549, 0.0000], [0.0000, 0.0000, 11.1183]], "species": ["Tm", "Th", "Th", "Sc", "Sb", "Sb", "Sb", "Sb", "Sb"], "fractional_positions": [[0.0000, 0.0000, 0.5000], [0.5000, 0.5000, 0.2979], [0.5000, 0.5000, 0.7021], [0.0000, 0.0000, 0.0000], [0.0000, 0.5000, 0.5000], [0.5000, 0.0000, 0.5000], [0.0000, 0.0000, 0.7591], [0.0000, 0.0000, 0.2409], [0.5000, 0.5000, 0.0000]]}

---

Entry 2:
{"formula": "Ca3Cu3Pd", "functional": "GGA-PBE", "state": "relaxed", "formation_enthalpy_0k_mev_per_atom": -273, "sg": "C2/m, No. 12", "lattice": [[-4.2731, -0.1850, -0.2128], [-1.8488, -0.7489, -5.3131], [-1.6072, -13.8176, 1.1952]], "species": ["Ca", "Ca", "Ca", "Ca", "Ca", "Ca", "Cu", "Cu", "Cu", "Cu", "Cu", "Cu", "Pd", "Pd"], "fractional_positions": [[0.5417, 0.3072, 0.6095], [0.4583, 0.6928, 0.3905], [0.2475, 0.2671, 0.2379], [0.7525, 0.7329, 0.7621], [0.3929, 0.2915, 0.9227], [0.6071, 0.7085, 0.0773], [0.8737, 0.7149, 0.5378], [0.1263, 0.2851, 0.4622], [0.0961, 0.8847, 0.9232], [0.9039, 0.1153, 0.0768], [0.9564, 0.8589, 0.2282], [0.0436, 0.1411, 0.7718], [0.7573, 0.0969, 0.3885], [0.2427, 0.9031, 0.6115]]}